Record 1
Density functional theory data (PBE-GGA) for a relaxed LuZr2Ta crystal.

extended XYZ file:
```
4
Lattice="-0.8316 4.7923 1.2709 -4.4731 2.1035 -0.9160 -3.0929 1.0896 3.8104" Properties=species:S:1:pos:R:3 pbc="T T T"
Lu 0.0000 0.0000 0.0000
Zr -2.0994 1.9964 1.0413
Zr -6.2982 5.9891 3.1239
Ta -4.1988 3.9927 2.0826
```

Computed properties:
* relative energy among the computed polymorphs: 77 meV per atom


Record 2
Density functional theory data (PBE-GGA) for a relaxed CrGaPS2 crystal.

extended XYZ file:
```
5
Lattice="-0.7790 -2.0914 -3.9666 -0.2640 -3.9977 2.1596 -4.4291 0.5934 0.5570" Properties=species:S:1:pos:R:3 pbc="T T T"
Cr 0.0000 0.0000 0.0000
S -0.1320 -1.9988 1.0798
S -0.3895 -1.0457 -1.9833
Ga -2.7360 -2.7479 -0.6250
P -2.2146 0.2967 0.2785
```

Computed properties:
* relative energy among the computed polymorphs: 0 meV per atom
* ΔE_f (raw): 203 meV per atom


Record 3
Density functional theory data (PBE-GGA) for a relaxed Hf2ScSb crystal.

extended XYZ file:
```
8
Lattice="4.2642 0.0000 0.0000 0.0000 4.1643 -0.8267 0.0000 -0.0968 10.4333" Properties=species:S:1:pos:R:3 pbc="T T T"
Hf 3.1981 1.7649 8.9106
Hf 1.0660 2.3026 0.6960
Hf 1.0660 3.8520 8.5221
Hf 3.1981 0.2155 1.0845
Sc 1.0660 1.2260 6.1959
Sc 3.1981 2.8415 3.4107
Sb 3.1981 3.4059 6.2749
Sb 1.0660 0.6616 3.3317
```

Computed properties:
* ΔE_f (raw): -528 meV per atom


Record 4
Density functional theory data (PBE-GGA) for a relaxed Ni4TeW crystal.

extended XYZ file:
```
6
Lattice="-2.4909 -3.9631 1.1926 -4.2665 -0.8890 -2.0831 -0.4342 -3.6232 -3.1649" Properties=species:S:1:pos:R:3 pbc="T T T"
Ni -3.9454 -5.1681 -0.9146
Ni -2.9078 -4.9966 -3.1129
Ni -4.8412 -3.6172 -2.5671
Ni -2.6888 -3.1687 -1.5162
Te -5.3937 -6.3565 -3.0416
W 0.0000 0.0000 0.0000
```

Computed properties:
* ΔE_f (raw): 269 meV per atom


Record 5
Density functional theory data (PBE-GGA) for a relaxed LaMn2W crystal.

extended XYZ file:
```
4
Lattice="0.0000 3.2600 3.2600 3.2600 0.0000 3.2600 3.2600 3.2600 0.0000" Properties=species:S:1:pos:R:3 pbc="T T T"
Mn 1.6300 1.6300 1.6300
Mn 4.8901 4.8901 4.8901
W 3.2600 3.2600 3.2600
La 0.0000 0.0000 0.0000
```

Computed properties:
* relative energy among the computed polymorphs: 357 meV per atom


Record 6
Density functional theory data (PBE-GGA) for a relaxed Tb7PrY3 crystal.

extended XYZ file:
```
11
Lattice="-3.3552 6.4227 -4.7653 -5.1546 0.8701 4.8021 6.0711 3.6266 0.6133" Properties=species:S:1:pos:R:3 pbc="T T T"
Tb 3.7970 3.9100 0.7629
Tb 0.7832 2.1097 0.4585
Tb -1.8214 2.5712 2.8254
Tb -4.7748 4.2182 1.9576
Tb -2.2193 3.7868 -0.4230
Tb -1.7650 6.0161 2.2617
Tb 1.2382 4.3419 3.1467
Pr 0.8432 5.5524 -0.1010
Y -2.1821 7.2872 -1.0295
Y -5.2060 5.4808 -1.3350
Y -4.7495 7.7206 1.3623
```

Computed properties:
* relative energy among the computed polymorphs: 50 meV per atom


Record 7
Density functional theory data (PBE-GGA) for a relaxed LiCaNpCl6 crystal.

extended XYZ file:
```
18
Lattice="6.7532 0.0000 0.0000 -3.3766 5.8484 0.0000 0.0000 0.0000 12.2906" Properties=species:S:1:pos:R:3 pbc="T T T"
Li 0.0000 3.8990 3.0726
Li 3.3766 1.9495 9.2179
Ca 0.0000 0.0000 0.0000
Ca 0.0000 0.0000 6.1453
Np 3.3766 1.9495 3.0726
Np 0.0000 3.8990 9.2179
Cl 2.1588 3.9023 1.5838
Cl -1.0765 2.0277 1.5838
Cl 2.2943 0.0816 7.7291
Cl 4.4531 3.8207 10.7068
Cl 1.0765 2.0277 4.5615
Cl -2.1588 3.9023 4.5615
Cl 4.4589 0.0816 10.7068
Cl 1.0823 5.7668 4.5615
Cl 5.5354 1.9461 7.7291
Cl -1.0823 5.7668 1.5838
Cl 2.3001 3.8207 7.7291
Cl 1.2178 1.9461 10.7068
```

Computed properties:
* ΔE_f (raw): -1935 meV per atom


Record 8
Density functional theory data (PBE-GGA) for a relaxed LiScMn2 crystal.

extended XYZ file:
```
4
Lattice="-3.1269 2.2021 -2.8441 3.5223 -1.4186 -2.8803 -1.4304 -2.6223 -0.4577" Properties=species:S:1:pos:R:3 pbc="T T T"
Li 1.0460 -2.0204 -1.6690
Mn 0.0000 0.0000 0.0000
Mn 0.1977 0.3917 -2.8622
Sc -2.2786 -0.2101 -1.6509
```

Computed properties:
* relative energy among the computed polymorphs: 181 meV per atom


Record 9
Density functional theory data (PBE-GGA) for a relaxed NaNdAgPb crystal.

extended XYZ file:
```
4
Lattice="-0.8795 0.9842 5.1559 2.8485 -2.5306 3.7159 3.6155 2.6652 2.8549" Properties=species:S:1:pos:R:3 pbc="T T T"
Pb 4.1884 0.8391 8.7950
Na 2.7922 0.5594 5.8634
Nd 0.0000 0.0000 0.0000
Ag 1.3961 0.2797 2.9317
```


Record 10
Density functional theory data (PBE-GGA) for a relaxed Pr2PuMn2N6 crystal.

extended XYZ file:
```
11
Lattice="5.6385 0.0000 0.0000 2.8192 4.8831 0.0000 2.8192 1.6277 5.7722" Properties=species:S:1:pos:R:3 pbc="T T T"
Pr 8.4577 4.8831 3.6576
Pr 2.8192 1.6277 2.1146
Pu 0.0000 0.0000 0.0000
Mn 5.6385 3.2554 4.5904
Mn 5.6385 3.2554 1.1818
N 7.0723 4.0832 1.5979
N 4.2047 4.0832 1.5979
N 5.6385 1.5997 1.5979
N 5.6385 4.9110 4.1743
N 7.0723 2.4276 4.1743
N 4.2047 2.4276 4.1743
```

Computed properties:
* ΔE_f (raw): -708 meV per atom


Record 11
Density functional theory data (PBE-GGA) for a relaxed HoLuGaIr crystal.

extended XYZ file:
```
4
Lattice="4.8921 0.0000 0.0000 2.4460 4.2367 0.0000 2.4460 1.4122 3.9944" Properties=species:S:1:pos:R:3 pbc="T T T"
Ir 7.3381 4.2367 2.9958
Lu 4.8921 2.8244 1.9972
Ho 0.0000 0.0000 0.0000
Ga 2.4460 1.4122 0.9986
```


Record 12
Density functional theory data (PBE-GGA) for a relaxed Li3InGa crystal.

extended XYZ file:
```
10
Lattice="-2.4903 3.3455 -2.2109 -2.6187 -4.1270 -3.2951 -5.9693 1.1107 3.3529" Properties=species:S:1:pos:R:3 pbc="T T T"
Li -3.7381 -3.3480 -3.3679
Li -7.3403 3.6772 1.2147
Li -2.4354 -1.2949 -1.7287
Li -8.6430 1.6242 -0.4245
Li -4.8312 -2.5195 -0.9139
Li -6.2472 2.8487 -1.2393
In -7.1555 -0.9829 -0.9912
In -3.9229 1.3121 -1.1620
Ga -5.0907 -0.7239 -2.9566
Ga -5.9877 1.0531 0.8034
```

Computed properties:
* relative energy among the computed polymorphs: 73 meV per atom


Record 13
Density functional theory data (PBE-GGA) for a relaxed NiIrPt3 crystal.

extended XYZ file:
```
5
Lattice="4.4664 0.0000 0.0000 0.0000 4.4664 0.0000 0.0000 0.0000 4.4664" Properties=species:S:1:pos:R:3 pbc="T T T"
Ni 0.0000 0.0000 0.0000
Ir 2.2332 2.2332 2.2332
Pt 0.0000 2.2332 0.0000
Pt 0.0000 0.0000 2.2332
Pt 2.2332 0.0000 0.0000
```

Computed properties:
* relative energy among the computed polymorphs: 1109 meV per atom


Record 14
Density functional theory data (PBE-GGA) for a relaxed Sr2LiCdHg2 crystal.

extended XYZ file:
```
12
Lattice="-3.6844 -4.3878 3.1686 5.4495 -2.8444 2.3977 -1.1688 8.5702 3.7443" Properties=species:S:1:pos:R:3 pbc="T T T"
Sr -0.9721 0.6385 2.9667
Sr 1.5684 0.6995 6.3439
Sr 0.7781 4.4254 3.4814
Sr -0.1818 -3.0874 5.8292
Li 2.2449 -4.3272 3.3826
Li -0.4798 -2.9050 2.1837
Cd 4.0871 -2.1333 1.7983
Cd 1.3624 -0.7111 0.5994
Hg -2.7633 -2.0492 3.8494
Hg 1.6694 -1.4373 3.5794
Hg -1.0731 2.7753 5.7312
Hg 3.3596 3.3872 5.4612
```


Record 15
Density functional theory data (PBE-GGA) for a relaxed In3Ga9Sn2 crystal.

extended XYZ file:
```
14
Lattice="4.1525 0.0000 1.1154 1.6007 8.4743 2.3282 -0.1726 -0.1353 8.9302" Properties=species:S:1:pos:R:3 pbc="T T T"
In 0.0000 0.0000 0.0000
In 3.3152 2.5630 4.2328
In 2.2655 5.7761 8.1410
Ga 0.7141 4.1695 5.6292
Ga 4.1408 8.0300 9.4468
Ga 1.4399 0.3090 2.9271
Ga 3.7268 6.0196 10.9884
Ga 1.8539 2.3195 1.3854
Ga 4.8292 7.4523 6.8839
Ga 0.7515 0.8867 5.4899
Ga 4.0287 3.5659 9.8641
Ga 1.5520 4.7731 2.5097
Sn 2.4343 2.4410 7.5124
Sn 3.1464 5.8981 4.8614
```


Record 16
Density functional theory data (PBE-GGA) for a relaxed Bi2P2PdPt7 crystal.

extended XYZ file:
```
12
Lattice="-0.5602 3.9012 0.3334 -3.8585 -0.6075 0.6223 0.2645 0.7685 15.0181" Properties=species:S:1:pos:R:3 pbc="T T T"
Bi -3.3794 2.9249 7.0680
Bi -0.7748 1.1373 8.9057
P -2.5115 2.6163 12.1612
P -1.6427 1.4459 3.8126
Pd 0.0000 0.0000 0.0000
Pt -2.2093 1.6469 0.4778
Pt -1.2588 1.3097 6.0702
Pt -2.8954 2.7525 9.9036
Pt -2.1389 3.4736 2.6984
Pt -3.7890 1.2180 2.8429
Pt -0.3652 2.8443 13.1309
Pt -2.0152 0.5887 13.2753
```


Record 17
Density functional theory data (PBE-GGA) for a relaxed Ac4YPu3Se8 crystal.

extended XYZ file:
```
16
Lattice="-7.2049 -3.7927 2.6316 2.1414 -7.1321 -4.4159 5.4740 3.2294 5.7294" Properties=species:S:1:pos:R:3 pbc="T T T"
Ac -3.6024 -1.8964 1.3158
Ac -0.8654 -0.2817 4.1805
Ac 0.0000 0.0000 0.0000
Ac 2.7370 1.6147 2.8647
Y 1.0707 -3.5660 -2.2080
Pu -2.5317 -5.4624 -0.8922
Pu 0.2053 -3.8477 1.9726
Pu 3.8077 -1.9513 0.6568
Se 5.2154 -2.9123 3.0727
Se 2.4576 -4.5393 0.1862
Se 1.5471 -1.2563 2.4249
Se 1.5856 -4.8231 4.3986
Se -1.1750 -2.8723 -0.4534
Se -1.1365 -6.4391 1.5202
Se -2.0470 -3.1561 3.7589
Se -4.8048 -4.7831 0.8724
```

Computed properties:
* ΔE_f (raw): -1721 meV per atom


Record 18
Density functional theory data (PBE-GGA) for a relaxed PmNiB crystal.

extended XYZ file:
```
6
Lattice="-0.1714 3.2248 -0.7640 -4.6969 0.2873 2.2955 -0.5754 2.9998 5.6018" Properties=species:S:1:pos:R:3 pbc="T T T"
Pm -1.9251 0.6649 1.2579
Pm -1.5047 2.9936 3.8328
Ni -4.1415 2.4068 1.9332
Ni -4.1567 4.7631 4.6890
B -3.9410 4.3167 2.7462
B -4.3571 2.8539 3.8760
```

Computed properties:
* relative energy among the computed polymorphs: 73 meV per atom


Record 19
Density functional theory data (PBE-GGA) for a relaxed AcCd11Pb crystal.

extended XYZ file:
```
13
Lattice="-4.5273 2.9188 3.5459 -6.1348 2.7019 -3.9855 -5.6042 -4.8075 2.6665" Properties=species:S:1:pos:R:3 pbc="T T T"
Ac 0.0000 0.0000 0.0000
Cd -3.7212 0.3014 0.6931
Cd -12.5451 0.5118 1.5337
Cd -8.3964 2.5888 -0.7434
Cd -7.8699 -1.7755 2.9702
Cd -9.0814 -0.3477 0.3121
Cd -7.1849 1.1610 1.9147
Cd -5.8575 -2.0548 0.3921
Cd -10.4088 2.8681 1.8347
Cd -3.0674 1.3509 -1.9928
Cd -5.0658 -0.9443 3.1062
Cd -2.8021 -2.4037 1.3332
Pb -5.3310 2.8104 -0.2198
```


Record 20
Density functional theory data (PBE-GGA) for a relaxed Hf6C5O crystal.

extended XYZ file:
```
12
Lattice="-5.6620 0.3612 -0.3619 3.0920 -0.9823 -4.6685 0.4683 -5.0617 2.5310" Properties=species:S:1:pos:R:3 pbc="T T T"
C -3.9687 -2.3936 0.1858
C -2.7479 -0.0861 -1.7955
C -1.0508 -2.8414 -1.2497
C 0.1779 -0.5350 -3.2348
C 1.8670 -3.2892 -2.6851
Hf -2.0341 -1.2114 0.0925
Hf -3.0602 -4.0121 -1.1195
Hf -0.3110 -3.9181 0.5900
Hf -1.7906 -1.7647 -3.0893
Hf 0.9585 -1.6706 -1.3798
Hf -0.0676 -4.4714 -2.5918
O 0.0000 0.0000 0.0000
```

Computed properties:
* ΔE_f (raw): -1279 meV per atom


Q: Which DFT total energy values were calculated for the entries above? A: -8.1540, -5.0602, -8.1186, -6.2679, -8.4080, -4.9506, -5.0386, -6.3032, -3.4330, -9.0887, -5.9751, -2.5225, -5.2075, -1.5328, -3.0648, -5.8254, -7.5818, -6.0188, -1.4692, -10.5124, in eV/atom.